# 1
The following is a PBE calculation of crystalline Pr2SmSb at its relaxed geometry, from Alexandria.

Cell lengths 4.244, 4.244, 7.061 Å; angles 90.00, 90.00, 90.00 degrees
Fractional coordinates of all 4 atoms:
1 Pr 0.000 0.000 0.723
2 Pr 0.000 0.000 0.277
3 Sb 0.500 0.500 0.500
4 Sm 0.500 0.500 0.000

Output
Polymorph energy (0 for the lowest one) ... 0.25 eV/f.u.
Theoretical density ... 7.2 g cm⁻³
Formation energy from raw total energies ... -1.962 eV per formula unit
Symmetry ... P4/mmm (123)



# 2
The following is a PBE calculation of crystalline TcNi3Rh2 at its relaxed geometry, from Alexandria.

Cell lengths 3.710, 7.294, 6.976 Å; angles 121.52, 105.42, 90.00 degrees
Site moments in Bohr magnetons follow the coordinates.
Fractional coordinates of all 12 atoms:
1 Tc 0.750 0.870 0.000  0.01
2 Tc 0.250 0.130 0.000  0.01
3 Ni 0.250 0.616 0.000  0.41
4 Ni 0.750 0.384 0.000  0.41
5 Ni 0.912 0.781 0.325  0.23
6 Ni 0.588 0.456 0.675  0.23
7 Ni 0.412 0.544 0.325  0.23
8 Ni 0.088 0.219 0.675  0.23
9 Rh 0.585 0.968 0.671  0.07
10 Rh 0.085 0.703 0.671  0.07
11 Rh 0.915 0.297 0.329  0.07
12 Rh 0.415 0.032 0.329  0.07

Output
Theoretical density ... 10.4 g cm⁻³
Energy relative to the elements ... 0.01 eV/atom
Symmetry ... Imma (74)



# 3
The following is a PBE calculation of crystalline TaTc2Pd at its relaxed geometry, from Alexandria.

Cell lengths 4.460, 4.460, 4.460 Å; angles 60.00, 60.00, 60.00 degrees
Fractional coordinates of all 4 atoms:
1 Tc 0.250 0.250 0.250
2 Tc 0.750 0.750 0.750
3 Pd 0.000 0.000 0.000
4 Ta 0.500 0.500 0.500

Output
Polymorph energy (0 for the lowest one) ... 0.97 eV/f.u.
Theoretical density ... 12.8 g cm⁻³
Energy relative to the elements ... 0.08 eV/atom
Symmetry ... Fm-3m (225)



Which formula does entry 2 have?
TcNi3Rh2